Record 1
Entry from Alexandria via LeMat-Bulk: a geometry-optimized La6In3Ag structure (PBE).

Output
VASP energy, eV per atom: -4.2687
Calculated formation energy, eV/atom: -0.206

Cell lengths 8.7008, 8.3099, 12.3210 Å; angles 90.00, 131.63, 90.00 degrees
Element x y z (fractional)
La: 0.0120 0.1049 0.2740
La: 0.0120 0.3951 0.7740
La: 0.2730 0.6768 0.0757
La: 0.2730 0.8232 0.5757
La: 0.4245 0.1448 0.0635
La: 0.4245 0.3552 0.5635
La: 0.5755 0.6448 0.4365
La: 0.5755 0.8552 0.9365
La: 0.7270 0.1768 0.4243
La: 0.7270 0.3232 0.9243
La: 0.9880 0.6049 0.2260
La: 0.9880 0.8951 0.7260
In: 0.0000 0.0000 0.0000
In: 0.0000 0.5000 0.5000
In: 0.2522 0.1627 0.7057
In: 0.2522 0.3373 0.2057
In: 0.7478 0.6627 0.7943
In: 0.7478 0.8373 0.2943
Ag: 0.5000 0.0000 0.5000
Ag: 0.5000 0.5000 0.0000


Record 2
Entry from Alexandria via LeMat-Bulk: a geometry-optimized Sc2TcMo structure (PBE).

Output
VASP energy, eV per atom: -8.3848
Calculated formation energy, eV/atom: 0.080

Cell lengths 2.9059, 4.4764, 5.5136 Å; angles 90.00, 100.81, 90.00 degrees
Element x y z (fractional)
Sc: 0.2216 0.0000 0.2548
Sc: 0.7784 0.0000 0.7452
Tc: 0.0000 0.5000 0.5000
Mo: 0.5000 0.5000 0.0000


Record 3
Entry from Alexandria via LeMat-Bulk: a geometry-optimized Ba2YCd structure (PBE).

Output
VASP energy, eV per atom: -2.6607
Calculated formation energy, eV/atom: 0.145

Cell lengths 6.0041, 6.0041, 6.0041 Å; angles 60.00, 60.00, 60.00 degrees
Element x y z (fractional)
Ba: 0.0000 0.0000 0.0000
Ba: 0.2500 0.2500 0.2500
Y: 0.5000 0.5000 0.5000
Cd: 0.7500 0.7500 0.7500


Record 4
Entry from Alexandria via LeMat-Bulk: a geometry-optimized Tm6CoAu2 structure (PBE).

Output
VASP energy, eV per atom: -4.9560
Calculated formation energy, eV/atom: -0.457

Cell lengths 6.5975, 7.2434, 11.5235 Å; angles 90.00, 122.91, 90.00 degrees
Element x y z (fractional)
Tm: 0.1231 0.0218 0.2492
Tm: 0.1231 0.4782 0.7492
Tm: 0.2285 0.6817 0.0598
Tm: 0.2285 0.8183 0.5598
Tm: 0.3775 0.1884 0.0561
Tm: 0.3775 0.3116 0.5561
Tm: 0.6225 0.6884 0.4439
Tm: 0.6225 0.8116 0.9439
Tm: 0.7715 0.1817 0.4402
Tm: 0.7715 0.3183 0.9402
Tm: 0.8769 0.5218 0.2508
Tm: 0.8769 0.9782 0.7508
Co: 0.5000 0.0000 0.5000
Co: 0.5000 0.5000 0.0000
Au: 0.3014 0.1077 0.7541
Au: 0.3014 0.3923 0.2541
Au: 0.6986 0.6077 0.7459
Au: 0.6986 0.8923 0.2459